1.
Mg4CdFe | Alexandria | PBE | optimized geometry; V = 126 Å³ per cell; ΔE_f = 2.4 eV per formula unit; energy above the most stable polymorph in this dataset = 329 meV/atom; E = -2.223 eV/atom
1.0
0.000 3.977 3.977
3.977 0.000 3.977
3.977 3.977 0.000
Mg Cd Fe
4 1 1
direct
0.125 0.125 0.125
0.125 0.125 0.624
0.125 0.624 0.125
0.624 0.125 0.125
0.750 0.750 0.750
0.500 0.500 0.500

2.
MgCdFe2 | Alexandria | PBE | optimized geometry; V = 62 Å³ per cell; ΔE_f = 1.1 eV per formula unit; E = -4.575 eV/atom
1.0
-2.002 2.002 3.856
2.002 -2.002 3.856
2.002 2.002 -3.856
Mg Cd Fe
1 1 2
direct
0.000 0.000 0.000
0.250 0.750 0.500
0.500 0.500 0.000
0.750 0.250 0.500

Which formula does entry 1 have? Mg4CdFe